[1]
The following is a PBE-GGA calculation of YAlPt after structural relaxation, from OQMD.

abc: 4.686 4.686 4.686
angles: 60.00 60.00 60.00
Atoms (fractional coordinates):
Al 0.250 0.250 0.250
Pt 0.750 0.750 0.750
Y 0.000 0.000 0.000

Computed properties:
As for the total energy: -0.409 Ry per atom. As for the crystal system: cubic.

[2]
The following is a PBE-GGA calculation of YAlPt after structural relaxation, from OQMD.

abc: 6.940 4.438 7.733
angles: 90.00 90.00 90.00
Atoms (fractional coordinates):
Al 0.150 0.750 0.066
Al 0.650 0.750 0.434
Al 0.350 0.250 0.566
Al 0.850 0.250 0.934
Pt 0.777 0.750 0.112
Pt 0.277 0.750 0.388
Pt 0.723 0.250 0.612
Pt 0.223 0.250 0.888
Y 0.475 0.250 0.184
Y 0.975 0.250 0.316
Y 0.025 0.750 0.684
Y 0.525 0.750 0.816

Computed properties:
As for the total energy: -0.484 Ry per atom. As for the crystal system: orthorhombic.

[3]
The following is a PBE-GGA calculation of Y10Al3Pt after structural relaxation, from OQMD.

abc: 9.638 9.638 9.607
angles: 90.00 90.00 120.00
Atoms (fractional coordinates):
Al 0.226 0.113 0.250
Al 0.887 0.113 0.250
Al 0.887 0.774 0.250
Al 0.113 0.226 0.750
Al 0.113 0.887 0.750
Al 0.774 0.887 0.750
Pt 0.333 0.667 0.250
Pt 0.667 0.333 0.750
Y 0.000 0.000 0.000
Y 0.206 0.411 0.056
Y 0.206 0.794 0.056
Y 0.589 0.794 0.056
Y 0.542 0.084 0.250
Y 0.542 0.458 0.250
Y 0.916 0.458 0.250
Y 0.206 0.411 0.444
Y 0.206 0.794 0.444
Y 0.589 0.794 0.444
Y 0.000 0.000 0.500
Y 0.411 0.206 0.556
Y 0.794 0.206 0.556
Y 0.794 0.589 0.556
Y 0.084 0.542 0.750
Y 0.458 0.542 0.750
Y 0.458 0.916 0.750
Y 0.411 0.206 0.944
Y 0.794 0.206 0.944
Y 0.794 0.589 0.944

Computed properties:
As for the total energy: -0.460 Ry per atom. As for the crystal system: hexagonal.

[4]
The following is a PBE-GGA calculation of YAlPt after structural relaxation, from OQMD.

abc: 4.594 4.594 4.594
angles: 60.00 60.00 60.00
Atoms (fractional coordinates):
Al 0.250 0.250 0.250
Pt 0.000 0.000 0.000
Y 0.750 0.750 0.750

Computed properties:
As for the total energy: -0.462 Ry per atom. As for the crystal system: cubic.

[5]
The following is a PBE-GGA calculation of YAlPt after structural relaxation, from OQMD.

abc: 4.466 4.466 7.038
angles: 90.00 90.00 120.00
Atoms (fractional coordinates):
Al 0.333 0.667 0.250
Al 0.667 0.333 0.750
Pt 0.667 0.333 0.250
Pt 0.333 0.667 0.750
Y 0.000 0.000 0.000
Y 0.000 0.000 0.500

Computed properties:
As for the total energy: -0.476 Ry per atom. As for the crystal system: hexagonal.

[6]
The following is a PBE-GGA calculation of Y2Al3Pt4 after structural relaxation, from OQMD.

abc: 8.135 8.135 7.599
angles: 90.00 90.00 139.76
Atoms (fractional coordinates):
Al 0.000 0.000 0.000
Al 0.478 0.022 0.250
Al 0.978 0.522 0.250
Al 0.500 0.500 0.500
Al 0.022 0.478 0.750
Al 0.522 0.978 0.750
Pt 0.817 0.183 0.027
Pt 0.310 0.190 0.250
Pt 0.810 0.690 0.250
Pt 0.317 0.683 0.473
Pt 0.683 0.317 0.527
Pt 0.190 0.310 0.750
Pt 0.690 0.810 0.750
Pt 0.183 0.817 0.973
Y 0.394 0.606 0.092
Y 0.894 0.106 0.408
Y 0.106 0.894 0.592
Y 0.606 0.394 0.908

Computed properties:
As for the total energy: -0.482 Ry per atom. As for the crystal system: orthorhombic.

[7]
The following is a PBE-GGA calculation of YAl2Pt2 after structural relaxation, from OQMD.

abc: 6.433 6.433 6.433
angles: 143.46 143.46 52.64
Atoms (fractional coordinates):
Al 0.750 0.250 0.500
Al 0.250 0.750 0.500
Pt 0.382 0.382 0.000
Pt 0.618 0.618 0.000
Y 0.000 0.000 0.000

Computed properties:
As for the total energy: -0.466 Ry per atom. As for the crystal system: tetragonal.

[8]
The following is a PBE-GGA calculation of YAlPt after structural relaxation, from OQMD.

abc: 4.825 4.825 5.842
angles: 90.00 90.00 120.00
Atoms (fractional coordinates):
Al 0.333 0.667 0.250
Al 0.667 0.333 0.750
Pt 0.000 0.000 0.000
Pt 0.000 0.000 0.500
Y 0.667 0.333 0.250
Y 0.333 0.667 0.750

Computed properties:
As for the total energy: -0.435 Ry per atom. As for the crystal system: hexagonal.

What is the formula in the seventh record?
YAl2Pt2